First-principles (SCAN) data for BaSr2MoBr at its PBEsol-relaxed geometry, as listed in Alexandria.

Summary:
Total energy = -137.29 eV per cell
D(E_F) = 6.024 states/eV per cell
Formation energy (no corrections) = 0.230 eV per atom

Lattice parameters (Å, degrees): 5.753 5.753 6.184 90.00 90.00 90.00
Element x y z (fractional)
Mo 0.500 0.500 0.500
Sr 0.000 0.500 0.000
Sr 0.500 0.000 0.000
Ba 0.000 0.000 0.500
Br 0.000 0.000 0.000